{
  "formula": "Ac2ErCl",
  "functional": "PBE",
  "state": "relaxed",
  "lattice_angstrom": [[3.8822, 0.0000, 0.0000], [1.9411, 3.3621, 0.0000], [1.9411, 1.1207, 10.9735]],
  "species": ["Cl", "Er", "Ac", "Ac"],
  "fractional_positions": [[0.0000, 0.0000, 0.0000], [0.5000, 0.5000, 0.5000], [0.2582, 0.2582, 0.2254], [0.7418, 0.7418, 0.7746]],
  "e_form_raw_mev_per_atom": -610.9,
  "crystal_system": "trigonal"
}

***

{
  "formula": "AcEu3Cl",
  "functional": "PBE",
  "state": "relaxed",
  "lattice_angstrom": [[5.7919, 0.0000, 0.0000], [0.0000, 5.7919, 0.0000], [0.0000, 0.0000, 5.7919]],
  "species": ["Eu", "Eu", "Eu", "Cl", "Ac"],
  "fractional_positions": [[0.0000, 0.0000, 0.5000], [0.5000, 0.0000, 0.0000], [0.0000, 0.5000, 0.0000], [0.0000, 0.0000, 0.0000], [0.5000, 0.5000, 0.5000]],
  "e_form_raw_mev_per_atom": -558.9,
  "crystal_system": "cubic"
}

***

{
  "formula": "Ac5Eu3Cl12",
  "functional": "PBE",
  "state": "relaxed",
  "lattice_angstrom": [[15.3710, 0.0000, 0.0000], [-5.1237, 14.4920, 0.0000], [-5.1237, -7.2460, 12.5504]],
  "species": ["Cl", "Cl", "Cl", "Cl", "Cl", "Eu", "Cl", "Eu", "Cl", "Cl", "Ac", "Eu", "Eu", "Eu", "Cl", "Eu", "Cl", "Eu", "Cl", "Ac", "Ac", "Cl", "Cl", "Cl", "Eu", "Cl", "Cl", "Ac", "Ac", "Ac", "Cl", "Cl", "Ac", "Cl", "Cl", "Cl", "Cl", "Cl", "Ac", "Ac", "Ac", "Cl", "Cl", "Eu", "Ac", "Cl", "Eu", "Cl", "Cl", "Eu", "Ac", "Ac", "Cl", "Cl", "Cl", "Ac", "Cl", "Cl", "Cl", "Cl", "Cl", "Cl", "Cl", "Cl", "Ac", "Cl", "Ac", "Cl", "Cl", "Ac", "Cl", "Cl", "Cl", "Ac", "Cl", "Cl", "Eu", "Ac", "Ac", "Cl"],
  "fractional_positions": [[0.0552, 0.1572, 0.2180], [0.3428, 0.7820, 0.4448], [0.9448, 0.8428, 0.7820], [0.6021, 0.6629, 0.4448], [0.1629, 0.4448, 0.1021], [0.1250, 0.2500, 0.8750], [0.0608, 0.6629, 0.7180], [0.6250, 0.3750, 0.7500], [0.7180, 0.1629, 0.0608], [0.1572, 0.1021, 0.9392], [0.1250, 0.7500, 0.3750], [0.8750, 0.7500, 0.1250], [0.6250, 0.2500, 0.3750], [0.7500, 0.3750, 0.1250], [0.5608, 0.3428, 0.8979], [0.2500, 0.6250, 0.8750], [0.8428, 0.8979, 0.0608], [0.3750, 0.7500, 0.6250], [0.2820, 0.8371, 0.9392], [0.7500, 0.1250, 0.8750], [0.5000, 0.5000, 0.0000], [0.7820, 0.4392, 0.3371], [0.3371, 0.9392, 0.7820], [0.2180, 0.6572, 0.0552], [0.7500, 0.8750, 0.6250], [0.3979, 0.0608, 0.3428], [0.5552, 0.7180, 0.6572], [0.8750, 0.2500, 0.6250], [0.8750, 0.6250, 0.7500], [0.1250, 0.3750, 0.2500], [0.2180, 0.5608, 0.6629], [0.6572, 0.4392, 0.6021], [0.0000, 0.0000, 0.0000], [0.8371, 0.2820, 0.4392], [0.6021, 0.9392, 0.6572], [0.1021, 0.1572, 0.4392], [0.8979, 0.8428, 0.5608], [0.9392, 0.3371, 0.2820], [0.7500, 0.6250, 0.3750], [0.0000, 0.0000, 0.5000], [0.0000, 0.5000, 0.5000], [0.9448, 0.1021, 0.6629], [0.1021, 0.9448, 0.1629], [0.2500, 0.1250, 0.3750], [0.0000, 0.5000, 0.0000], [0.3979, 0.3371, 0.5552], [0.3750, 0.6250, 0.2500], [0.8979, 0.0552, 0.8371], [0.6629, 0.0608, 0.2180], [0.1250, 0.8750, 0.7500], [0.2500, 0.3750, 0.6250], [0.5000, 0.0000, 0.5000], [0.2820, 0.4448, 0.8428], [0.5552, 0.8371, 0.3979], [0.4448, 0.1629, 0.6021], [0.6250, 0.8750, 0.2500], [0.4392, 0.7820, 0.8371], [0.3371, 0.3979, 0.0552], [0.6629, 0.6021, 0.9448], [0.8371, 0.5552, 0.8979], [0.4448, 0.2820, 0.3428], [0.9392, 0.6021, 0.1572], [0.8428, 0.9448, 0.2820], [0.3428, 0.5608, 0.3979], [0.3750, 0.1250, 0.7500], [0.0608, 0.3979, 0.8428], [0.3750, 0.2500, 0.1250], [0.0552, 0.8979, 0.3371], [0.5608, 0.2180, 0.1629], [0.2500, 0.8750, 0.1250], [0.4392, 0.6572, 0.1021], [0.7820, 0.3428, 0.9448], [0.6572, 0.2180, 0.5552], [0.5000, 0.0000, 0.0000], [0.1572, 0.0552, 0.7180], [0.7180, 0.5552, 0.1572], [0.8750, 0.1250, 0.2500], [0.6250, 0.7500, 0.8750], [0.5000, 0.5000, 0.5000], [0.1629, 0.7180, 0.5608]],
  "e_form_raw_mev_per_atom": -1697.7,
  "crystal_system": "cubic"
}

***

{
  "formula": "AcEuCl2",
  "functional": "PBE",
  "state": "relaxed",
  "lattice_angstrom": [[4.1445, 0.0000, 0.0000], [2.0722, 3.5892, 0.0000], [2.0722, 1.1964, 7.4758]],
  "species": ["Cl", "Ac", "Eu", "Cl"],
  "fractional_positions": [[0.2399, 0.2399, 0.2803], [0.0000, 0.0000, 0.0000], [0.5000, 0.5000, 0.5000], [0.7601, 0.7601, 0.7197]],
  "e_form_raw_mev_per_atom": -1453.6,
  "crystal_system": "trigonal"
}

***

{
  "formula": "AcEuGaCl",
  "functional": "PBE",
  "state": "relaxed",
  "lattice_angstrom": [[5.4692, 0.0000, 0.0000], [2.7346, 4.7364, 0.0000], [2.7346, 1.5788, 4.4656]],
  "species": ["Ac", "Cl", "Eu", "Ga"],
  "fractional_positions": [[0.0000, 0.0000, 0.0000], [0.7500, 0.7500, 0.7500], [0.5000, 0.5000, 0.5000], [0.2500, 0.2500, 0.2500]],
  "e_form_raw_mev_per_atom": -824.2,
  "crystal_system": "cubic"
}

***

{
  "formula": "AcEuSbCl",
  "functional": "PBE",
  "state": "relaxed",
  "lattice_angstrom": [[-1.7883, -4.4765, -2.7653], [1.9641, -5.0346, 1.2957], [-3.2873, -3.6987, 2.5292]],
  "species": ["Eu", "Sb", "Cl", "Ac"],
  "fractional_positions": [[0.2500, 0.2500, 0.2500], [0.0000, 0.0000, 0.0000], [0.5000, 0.5000, 0.5000], [0.7500, 0.7500, 0.7500]],
  "e_form_raw_mev_per_atom": -1313.0,
  "crystal_system": "cubic"
}

***

{
  "formula": "AcEuSnCl",
  "functional": "PBE",
  "state": "relaxed",
  "lattice_angstrom": [[-2.9203, 1.7301, -4.4753], [-5.5210, -0.9875, -0.3038], [-3.6438, 4.2459, 0.4943]],
  "species": ["Ac", "Sn", "Cl", "Eu"],
  "fractional_positions": [[0.5000, 0.5000, 0.5000], [0.2500, 0.2500, 0.2500], [0.7500, 0.7500, 0.7500], [0.0000, 0.0000, 0.0000]],
  "e_form_raw_mev_per_atom": -1093.2,
  "crystal_system": "cubic"
}

***

{
  "formula": "AcCl2F4",
  "functional": "PBE",
  "state": "relaxed",
  "lattice_angstrom": [[4.2685, 0.0000, -0.7139], [-0.3622, 3.7274, -2.1653], [-0.5321, -1.7116, 9.9366]],
  "species": ["Ac", "Cl", "F", "Cl", "F", "F", "F"],
  "fractional_positions": [[0.0000, 0.0000, 0.0000], [0.2501, 0.2501, 0.5001], [0.9124, 0.2406, 0.8248], [0.7499, 0.7499, 0.4999], [0.0876, 0.7594, 0.1752], [0.4124, 0.7414, 0.8249], [0.5876, 0.2586, 0.1751]],
  "e_form_raw_mev_per_atom": -2137.2,
  "crystal_system": "monoclinic"
}

***

{
  "formula": "Ac2ClF5",
  "functional": "PBE",
  "state": "relaxed",
  "lattice_angstrom": [[-2.9890, 1.8877, -2.3129], [-4.8358, 1.9370, 3.9723], [0.4183, 6.4772, 0.8878]],
  "species": ["F", "F", "Ac", "Ac", "F", "Cl", "F", "F"],
  "fractional_positions": [[0.3114, 0.8671, 0.5101], [0.3114, 0.5101, 0.8671], [0.2407, 0.2593, 0.2593], [0.7593, 0.7407, 0.7407], [0.6886, 0.4899, 0.1329], [0.0000, 0.0000, 0.0000], [0.0000, 0.5000, 0.5000], [0.6886, 0.1329, 0.4899]],
  "e_form_raw_mev_per_atom": -3917.2,
  "crystal_system": "orthorhombic"
}

***

{
  "formula": "AcCl4F5",
  "functional": "PBE",
  "state": "relaxed",
  "lattice_angstrom": [[6.2698, 0.0012, 2.5108], [3.1364, 6.2779, 1.2546], [0.8058, -0.0008, 7.0839]],
  "species": ["F", "F", "F", "Cl", "Cl", "F", "Cl", "F", "Ac", "Cl"],
  "fractional_positions": [[0.1967, 0.9798, 0.6285], [0.1761, 0.6284, 0.0203], [0.5717, 0.0000, 0.9998], [0.9192, 0.5079, 0.6611], [0.4273, 0.6609, 0.4922], [0.8044, 0.0201, 0.3714], [0.0881, 0.4923, 0.3390], [0.8248, 0.3715, 0.9799], [0.9009, 0.0000, 0.9999], [0.5804, 0.3389, 0.5078]],
  "e_form_raw_mev_per_atom": -1570.4,
  "crystal_system": "tetragonal"
}

***

{
  "formula": "Ac4Cl3F7",
  "functional": "PBE",
  "state": "relaxed",
  "lattice_angstrom": [[-2.2701, -3.0649, 1.1036], [5.6048, -4.9351, 4.9654], [-1.0809, 1.4586, 8.9692]],
  "species": ["F", "Cl", "F", "F", "Ac", "Cl", "Cl", "F", "F", "Ac", "F", "Ac", "Ac", "F"],
  "fractional_positions": [[0.8157, 0.4167, 0.9519], [0.6875, 0.8592, 0.7658], [0.5338, 0.7141, 0.2182], [0.1843, 0.5833, 0.0481], [0.9250, 0.8672, 0.2828], [0.0000, 0.5000, 0.5000], [0.3125, 0.1408, 0.2342], [0.4662, 0.2859, 0.7818], [0.0000, 0.0000, 0.0000], [0.0750, 0.1328, 0.7172], [0.3567, 0.7951, 0.4915], [0.6770, 0.4152, 0.2308], [0.3230, 0.5848, 0.7692], [0.6433, 0.2049, 0.5085]],
  "e_form_raw_mev_per_atom": -3347.0,
  "crystal_system": "monoclinic"
}

***

{
  "formula": "AcCl2F",
  "functional": "PBE",
  "state": "relaxed",
  "lattice_angstrom": [[4.3149, 0.0000, 0.0000], [0.0000, 7.0849, -1.9186], [0.0000, -0.8026, 6.8489]],
  "species": ["Cl", "F", "Ac", "Cl", "F", "Cl", "Cl", "Ac"],
  "fractional_positions": [[0.7500, 0.2028, 0.0519], [0.7500, 0.9765, 0.3703], [0.2500, 0.1625, 0.3454], [0.2500, 0.7972, 0.9481], [0.2500, 0.0235, 0.6297], [0.7500, 0.4093, 0.6375], [0.2500, 0.5907, 0.3625], [0.7500, 0.8375, 0.6546]],
  "e_form_raw_mev_per_atom": -3064.5,
  "polymorph_energy_mev_per_atom": 0,
  "crystal_system": "monoclinic"
}

***

{
  "formula": "AcCl2F8",
  "functional": "PBE",
  "state": "relaxed",
  "lattice_angstrom": [[4.3177, 0.4642, -1.3233], [-0.0009, 5.7073, -2.0386], [-0.1804, -0.8678, 8.6102]],
  "species": ["Ac", "F", "F", "F", "F", "F", "F", "F", "Cl", "F", "Cl"],
  "fractional_positions": [[0.5000, 0.0000, 0.0000], [0.0276, 0.7631, 0.9294], [0.9724, 0.2369, 0.0706], [0.3013, 0.2330, 0.8165], [0.4630, 0.6447, 0.7043], [0.5370, 0.3553, 0.2957], [0.6987, 0.7670, 0.1835], [0.7257, 0.1664, 0.5832], [0.8716, 0.4254, 0.7373], [0.2743, 0.8336, 0.4168], [0.1284, 0.5746, 0.2627]],
  "e_form_raw_mev_per_atom": -1731.7,
  "crystal_system": "triclinic"
}

***

{
  "formula": "AcCl2F",
  "functional": "PBE",
  "state": "relaxed",
  "lattice_angstrom": [[-2.2225, 2.8855, 5.3840], [1.0028, -5.7963, 2.7660], [4.8305, 2.6990, -2.9992]],
  "species": ["Ac", "Cl", "Cl", "Cl", "Cl", "F", "F", "Ac"],
  "fractional_positions": [[0.2155, 0.2155, 0.4311], [0.3136, 0.3136, 0.0000], [0.6864, 0.6864, 0.0000], [0.2500, 0.7500, 0.5000], [0.7500, 0.2500, 0.5000], [0.8586, 0.1414, 0.0000], [0.1414, 0.8586, 0.0000], [0.7845, 0.7845, 0.5689]],
  "e_form_raw_mev_per_atom": -2841.4,
  "polymorph_energy_mev_per_atom": 223,
  "crystal_system": "orthorhombic"
}

***

{
  "formula": "Ac2ClF6",
  "functional": "PBE",
  "state": "relaxed",
  "lattice_angstrom": [[-3.9189, -4.6161, -3.4216], [3.6197, -4.3049, 1.6620], [-2.4562, 1.2292, 8.5332]],
  "species": ["F", "F", "Cl", "F", "Ac", "F", "F", "Cl", "F", "Ac", "F", "F", "F", "Ac", "F", "F", "F", "Ac"],
  "fractional_positions": [[0.2967, 0.0420, 0.7609], [0.3315, 0.9252, 0.3824], [0.5000, 0.5000, 0.0000], [0.2130, 0.9947, 0.0647], [0.0109, 0.2419, 0.8253], [0.2033, 0.5420, 0.7391], [0.7033, 0.9580, 0.2391], [0.0000, 0.0000, 0.5000], [0.6685, 0.0748, 0.6176], [0.4891, 0.7419, 0.6747], [0.8315, 0.5748, 0.8824], [0.2870, 0.4947, 0.4353], [0.1685, 0.4252, 0.1176], [0.9891, 0.7581, 0.1747], [0.7130, 0.5053, 0.5647], [0.7967, 0.4580, 0.2609], [0.7870, 0.0053, 0.9353], [0.5109, 0.2581, 0.3253]],
  "e_form_raw_mev_per_atom": -3505.4,
  "crystal_system": "monoclinic"
}

***

{
  "formula": "Ac2ClF8",
  "functional": "PBE",
  "state": "relaxed",
  "lattice_angstrom": [[4.0174, -0.9658, -0.7510], [-1.2048, 6.5440, -3.1367], [-0.7693, 0.2300, 7.3121]],
  "species": ["F", "F", "F", "Cl", "F", "F", "F", "F", "F", "Ac", "Ac"],
  "fractional_positions": [[0.1485, 0.2445, 0.2445], [0.6110, 0.3824, 0.0277], [0.6110, 0.0277, 0.3824], [0.8181, 0.9121, 0.9122], [0.0256, 0.4422, 0.7970], [0.8182, 0.7638, 0.0606], [0.4871, 0.5792, 0.5792], [0.0256, 0.7969, 0.4421], [0.8182, 0.0606, 0.7638], [0.3182, 0.2266, 0.5979], [0.3182, 0.5979, 0.2266]],
  "e_form_raw_mev_per_atom": -3124.1,
  "crystal_system": "monoclinic"
}

***

{
  "formula": "Ac2ClF",
  "functional": "PBE",
  "state": "relaxed",
  "lattice_angstrom": [[3.9090, 0.0000, 0.0000], [1.9545, 3.3853, 0.0000], [1.9545, 1.1284, 8.0528]],
  "species": ["Ac", "Cl", "Ac", "F"],
  "fractional_positions": [[0.7367, 0.7367, 0.7900], [0.5000, 0.5000, 0.5000], [0.2633, 0.2633, 0.2100], [0.0000, 0.0000, 0.0000]],
  "e_form_raw_mev_per_atom": -1812.0,
  "crystal_system": "trigonal"
}

***

{
  "formula": "AcHClF",
  "functional": "PBE",
  "state": "relaxed",
  "lattice_angstrom": [[4.6832, 0.0000, 0.0000], [2.3416, 4.0557, 0.0000], [2.3416, 1.3519, 3.8238]],
  "species": ["Ac", "Cl", "H", "F"],
  "fractional_positions": [[0.5000, 0.5000, 0.5000], [0.2500, 0.2500, 0.2500], [0.0000, 0.0000, 0.0000], [0.7500, 0.7500, 0.7500]],
  "polymorph_energy_mev_per_atom": 261,
  "crystal_system": "cubic"
}

***

{
  "formula": "AcHClF",
  "functional": "PBE",
  "state": "relaxed",
  "lattice_angstrom": [[-1.4385, 1.8557, -3.5607], [2.3369, -2.7718, -2.3887], [-1.6236, -5.1992, 0.5008]],
  "species": ["Cl", "Ac", "F", "H"],
  "fractional_positions": [[0.2710, 0.5162, 0.5421], [0.6244, 0.1629, 0.2489], [0.5158, 0.7714, 0.0317], [0.0191, 0.2680, 0.0381]],
  "polymorph_energy_mev_per_atom": 0,
  "crystal_system": "orthorhombic"
}

***

{
  "formula": "AcHgClF4",
  "functional": "PBE",
  "state": "relaxed",
  "lattice_angstrom": [[6.8987, 0.1507, -0.4351], [2.4273, 6.4593, -0.4351], [1.4302, 1.0137, 7.0633]],
  "species": ["Ac", "Hg", "Ac", "Cl", "Hg", "F", "F", "F", "F", "F", "Cl", "F", "F", "F"],
  "fractional_positions": [[0.7907, 0.7907, 0.0920], [0.3927, 0.3927, 0.3506], [0.2093, 0.2093, 0.9080], [0.9792, 0.9792, 0.7649], [0.6073, 0.6073, 0.6494], [0.4286, 0.4286, 0.7660], [0.8762, 0.5092, 0.8662], [0.5092, 0.8762, 0.8662], [0.2427, 0.2427, 0.5539], [0.5714, 0.5714, 0.2340], [0.0208, 0.0208, 0.2351], [0.1238, 0.4908, 0.1338], [0.7573, 0.7573, 0.4461], [0.4908, 0.1238, 0.1338]],
  "e_form_raw_mev_per_atom": -2645.9,
  "crystal_system": "monoclinic"
}